Entry A
BaZn2Tc | PBE-GGA | optimized geometry

Cell and atoms, written as CIF:
```
data_BaZn2Tc
_chemical_formula_sum 'Ba1 Zn2 Tc1'
_space_group_name_H-M_alt 'P 4 m m'
_space_group_IT_number 99
_cell_length_a 3.526
_cell_length_b 3.526
_cell_length_c 7.423
_cell_angle_alpha 90.00
_cell_angle_beta 90.00
_cell_angle_gamma 90.00
loop_
_space_group_symop_operation_xyz
'x,y,z'
'-y,x,z'
'-x,-y,z'
'y,-x,z'
'-x,y,z'
'y,x,z'
'x,-y,z'
'-y,-x,z'
loop_
_atom_site_label
_atom_site_fract_x
_atom_site_fract_y
_atom_site_fract_z
Ba1 0.000 0.000 0.000
Zn1 0.000 0.000 0.432
Zn2 0.500 0.500 0.663
Tc1 0.500 0.500 0.327
```

Output
Calculated volume ... 23.079 A^3/atom

Entry B
BaZn2Tc | PBE-GGA | optimized geometry

Cell and atoms, written as CIF:
```
data_BaZn2Tc
_chemical_formula_sum 'Ba4 Zn8 Tc4'
_space_group_name_H-M_alt 'F -4 3 m'
_space_group_IT_number 216
_space_group_name_Hall 'F -4 2 3'
_cell_length_a 7.019
_cell_length_b 7.019
_cell_length_c 7.019
_cell_angle_alpha 90.00
_cell_angle_beta 90.00
_cell_angle_gamma 90.00
loop_
_atom_site_label
_atom_site_fract_x
_atom_site_fract_y
_atom_site_fract_z
Ba1 0.000 0.000 0.000
Zn1 0.000 0.000 0.500
Zn2 0.250 0.250 0.250
Tc1 0.250 0.250 0.750
```

Output
Calculated volume ... 21.610 A^3/atom

Quick one: most stable of them? entry A

Entry A
BaZn2Tc | PBE-GGA | optimized geometry

Cell and atoms, written as CIF:
```
data_BaZn2Tc
_chemical_formula_sum 'Ba2 Zn4 Tc2'
_space_group_name_H-M_alt 'I 4/m m m'
_space_group_IT_number 139
_space_group_name_Hall '-I 4 2'
_cell_length_a 4.562
_cell_length_b 4.562
_cell_length_c 8.387
_cell_angle_alpha 90.00
_cell_angle_beta 90.00
_cell_angle_gamma 90.00
loop_
_atom_site_label
_atom_site_fract_x
_atom_site_fract_y
_atom_site_fract_z
Ba1 0.000 0.000 0.000
Zn1 0.000 0.500 0.250
Tc1 0.000 0.000 0.500
```

Output
Calculated volume ... 21.819 A^3/atom

Entry B
BaZn2Tc | PBE-GGA | optimized geometry

Cell and atoms, written as CIF:
```
data_BaZn2Tc
_chemical_formula_sum 'Ba2 Zn4 Tc2'
_space_group_name_H-M_alt 'I -4 m 2'
_space_group_IT_number 119
_space_group_name_Hall 'I -4 -2'
_cell_length_a 4.407
_cell_length_b 4.407
_cell_length_c 9.071
_cell_angle_alpha 90.00
_cell_angle_beta 90.00
_cell_angle_gamma 90.00
loop_
_atom_site_label
_atom_site_fract_x
_atom_site_fract_y
_atom_site_fract_z
Ba1 0.000 0.000 0.000
Zn1 0.000 0.000 0.500
Zn2 0.000 0.500 0.250
Tc1 0.000 0.500 0.750
```

Output
Calculated volume ... 22.017 A^3/atom

Entry C
BaZn2Tc | PBE-GGA | optimized geometry

Cell and atoms, written as CIF:
```
data_BaZn2Tc
_chemical_formula_sum 'Ba3 Zn6 Tc3'
_space_group_name_H-M_alt 'R -3 m'
_space_group_IT_number 166
_space_group_name_Hall '-R 3 2"'
_cell_length_a 4.4275
_cell_length_b 4.4275
_cell_length_c 17.4728
_cell_angle_alpha 90.00
_cell_angle_beta 90.00
_cell_angle_gamma 120.00
loop_
_atom_site_label
_atom_site_fract_x
_atom_site_fract_y
_atom_site_fract_z
Ba1 0.0000 0.0000 0.0000
Zn1 0.0000 0.0000 0.1931
Tc1 0.0000 0.0000 0.5000
```

Output
Calculated volume ... 24.719 A^3/atom

Quick one: most stable of them? entry C

Entry A
BaZnTc | PBE-GGA | optimized geometry

Cell and atoms, written as CIF:
```
data_BaZnTc
_chemical_formula_sum 'Ba2 Zn2 Tc2'
_space_group_name_H-M_alt 'I 4 m m'
_space_group_IT_number 107
_space_group_name_Hall 'I 4 -2'
_cell_length_a 3.570
_cell_length_b 3.570
_cell_length_c 11.394
_cell_angle_alpha 90.00
_cell_angle_beta 90.00
_cell_angle_gamma 90.00
loop_
_atom_site_label
_atom_site_fract_x
_atom_site_fract_y
_atom_site_fract_z
Ba1 0.000 0.000 0.000
Zn1 0.000 0.000 0.274
Tc1 0.000 0.000 0.719
```

Output
Calculated volume ... 24.205 A^3/atom

Entry B
BaZnTc | PBE-GGA | optimized geometry

Cell and atoms, written as CIF:
```
data_BaZnTc
_chemical_formula_sum 'Ba4 Zn4 Tc4'
_space_group_name_H-M_alt 'F -4 3 m'
_space_group_IT_number 216
_space_group_name_Hall 'F -4 2 3'
_cell_length_a 7.424
_cell_length_b 7.424
_cell_length_c 7.424
_cell_angle_alpha 90.00
_cell_angle_beta 90.00
_cell_angle_gamma 90.00
loop_
_atom_site_label
_atom_site_fract_x
_atom_site_fract_y
_atom_site_fract_z
Ba1 0.000 0.000 0.000
Zn1 0.250 0.250 0.250
Tc1 0.250 0.250 0.750
```

Output
Calculated volume ... 34.101 A^3/atom

Quick one: most stable of them? entry A

Entry A
BaZr2Tc | PBE-GGA | optimized geometry

Cell and atoms, written as CIF:
```
data_BaZr2Tc
_chemical_formula_sum 'Ba1 Zr2 Tc1'
_space_group_name_H-M_alt 'P m m m'
_space_group_IT_number 47
_cell_length_a 3.491
_cell_length_b 5.073
_cell_length_c 5.259
_cell_angle_alpha 90.00
_cell_angle_beta 90.00
_cell_angle_gamma 90.00
loop_
_space_group_symop_operation_xyz
'x,y,z'
'-x,-y,-z'
'-x,-y,z'
'x,y,-z'
'x,-y,-z'
'-x,y,z'
'-x,y,-z'
'x,-y,z'
loop_
_atom_site_label
_atom_site_fract_x
_atom_site_fract_y
_atom_site_fract_z
Ba1 0.000 0.000 0.000
Zr1 0.000 0.500 0.500
Zr2 0.500 0.500 0.000
Tc1 0.500 0.000 0.500
```

Output
Calculated volume ... 23.284 A^3/atom

Entry B
BaZr2Tc | PBE-GGA | optimized geometry

Cell and atoms, written as CIF:
```
data_BaZr2Tc
_chemical_formula_sum 'Ba2 Zr4 Tc2'
_space_group_name_H-M_alt 'C m m 2'
_space_group_IT_number 35
_cell_length_a 3.495
_cell_length_b 5.398
_cell_length_c 10.540
_cell_angle_alpha 90.00
_cell_angle_beta 90.00
_cell_angle_gamma 90.00
loop_
_space_group_symop_operation_xyz
'x,y,z'
'-x,-y,z'
'-x,y,z'
'x,-y,z'
'x+1/2,y+1/2,z'
'-x+1/2,-y+1/2,z'
'-x+1/2,y+1/2,z'
'x+1/2,-y+1/2,z'
loop_
_atom_site_label
_atom_site_fract_x
_atom_site_fract_y
_atom_site_fract_z
Ba1 0.000 0.000 0.000
Zr1 0.000 0.000 0.425
Zr2 0.000 0.500 0.671
Tc1 0.000 0.500 0.243
```

Output
Calculated volume ... 24.857 A^3/atom

Entry C
BaZr2Tc | PBE-GGA | optimized geometry

Cell and atoms, written as CIF:
```
data_BaZr2Tc
_chemical_formula_sum 'Ba2 Zr4 Tc2'
_space_group_name_H-M_alt 'I m m 2'
_space_group_IT_number 44
_cell_length_a 3.409
_cell_length_b 4.508
_cell_length_c 15.166
_cell_angle_alpha 90.00
_cell_angle_beta 90.00
_cell_angle_gamma 90.00
loop_
_space_group_symop_operation_xyz
'x,y,z'
'-x,-y,z'
'-x,y,z'
'x,-y,z'
'x+1/2,y+1/2,z+1/2'
'-x+1/2,-y+1/2,z+1/2'
'-x+1/2,y+1/2,z+1/2'
'x+1/2,-y+1/2,z+1/2'
loop_
_atom_site_label
_atom_site_fract_x
_atom_site_fract_y
_atom_site_fract_z
Ba1 0.000 0.000 0.000
Zr1 0.000 0.000 0.329
Zr2 0.000 0.500 0.194
Tc1 0.000 0.500 0.699
```

Output
Calculated volume ... 29.136 A^3/atom

Quick one: most stable of them? entry C